Crystalline Li7Nd3Au4 at its relaxed geometry, computed with PBE.

Cell: 4.255 8.344 9.085 Å, 73.83 76.46 75.23°
Sites, in units of the cell vectors:
Li: 0.835 0.400 0.930
Li: 0.483 0.225 0.809
Li: 0.000 0.000 0.000
Au: 0.344 0.558 0.753
Au: 0.894 0.894 0.318
Nd: 0.700 0.820 0.779
Li: 0.324 0.845 0.506
Au: 0.656 0.442 0.247
Nd: 0.000 0.500 0.500
Nd: 0.300 0.180 0.221
Au: 0.106 0.106 0.682
Li: 0.676 0.155 0.494
Li: 0.517 0.775 0.191
Li: 0.165 0.600 0.070

Computed properties:
As for the space group: No. 12. The total energy comes out at -3.374 eV per atom. The value obtained for the formation energy from the elements is -0.4593 eV/atom.



Crystalline GdNbB2 at its relaxed geometry, computed with PBE.

Cell: 3.459 3.459 6.261 Å, 73.97 73.97 60.00°
Site moments in Bohr magnetons follow the coordinates.
Sites, in units of the cell vectors:
Gd: 0.500 0.500 0.500  7.08
B: 0.266 0.266 0.203  0.00
Nb: 0.000 0.000 0.000  -0.03
B: 0.734 0.734 0.797  0.00

Computed properties:
As for the space group: No. 166. The total energy comes out at -9.473 eV per atom. The value obtained for the formation energy from the elements is -0.0962 eV/atom.



Crystalline BaCaSe2 at its relaxed geometry, computed with PBE.

Cell: 9.125 9.125 9.125 Å, 31.71 31.71 31.71°
Sites, in units of the cell vectors:
Ca: 0.000 0.000 0.000
Se: 0.102 0.102 0.102
Ba: 0.500 0.500 0.500
Se: 0.898 0.898 0.898

Computed properties:
As for the space group: No. 166. The formation energy from raw total energies comes out at -1.39 eV per atom. The total energy comes out at -4.115 eV per atom.



Crystalline MgHg2I6O6 at its relaxed geometry, computed with PBE.

Cell: 9.788 9.788 9.126 Å, 83.14 83.14 98.37°
Sites, in units of the cell vectors:
O: 0.252 0.748 0.750
O: 0.035 0.255 0.091
I: 0.604 0.256 0.097
O: 0.745 0.965 0.409
Hg: 0.852 0.376 0.806
I: 0.396 0.744 0.903
O: 0.137 0.957 0.962
I: 0.993 0.829 0.083
Hg: 0.624 0.148 0.694
I: 0.747 0.587 0.646
O: 0.748 0.252 0.250
I: 0.829 0.993 0.583
O: 0.863 0.043 0.038
I: 0.253 0.413 0.354
I: 0.007 0.171 0.917
O: 0.956 0.044 0.750
Hg: 0.148 0.624 0.194
Hg: 0.376 0.852 0.306
O: 0.965 0.745 0.909
I: 0.744 0.396 0.403
O: 0.043 0.863 0.538
I: 0.413 0.253 0.854
I: 0.171 0.007 0.417
O: 0.255 0.035 0.591
I: 0.587 0.747 0.146
O: 0.957 0.137 0.462
Mg: 0.893 0.107 0.250
O: 0.044 0.956 0.250
Mg: 0.107 0.893 0.750
I: 0.256 0.604 0.597

Computed properties:
As for the space group: No. 15. The formation energy from raw total energies comes out at -0.37 eV per atom. The total energy comes out at -3.120 eV per atom.